# MgAg6Sn, optimized geometry, DFT PBE
# Formation energy from the elements   0.040 eV per atom
# Energy relative to the lowest polymorph listed for this composition   0.100 eV per atom
data_MgAg6Sn
_symmetry_space_group_name_H-M 'C 1 2/m 1'
_symmetry_Int_Tables_number 12
_symmetry_space_group_name_Hall '-C 2y'
_cell_length_a 8.109
_cell_length_b 5.747
_cell_length_c 7.494
_cell_angle_alpha 90.00
_cell_angle_beta 106.35
_cell_angle_gamma 90.00
loop_
_atom_site_label
_atom_site_type_symbol
_atom_site_fract_x
_atom_site_fract_y
_atom_site_fract_z
Mg1 Mg 0.000 0.000 0.000
Ag1 Ag 0.140 0.500 0.933
Ag2 Ag 0.199 0.257 0.297
Sn1 Sn 0.000 0.500 0.500